(1)
First-principles (PBE) data for crystalline HoCd3Hg at its relaxed geometry, as listed in Alexandria.

abc: 4.951 29.660 3.376
angles: 90.00 90.00 90.00
Space group Cmmm (No. 65)
Unique sites:
Ho (0.000, 0.172, 0.000) [4 per cell]
Cd (0.000, 0.072, 0.500) [4 per cell]
Cd (0.000, 0.271, 0.500) [4 per cell]
Cd (0.000, 0.453, 0.000) [4 per cell]
Hg (0.000, 0.367, 0.500) [4 per cell]

Properties
- distance to the lowest polymorph of the same formula (meV/atom) = 22.7
- DFT formation energy (eV per atom) = -0.14

=====

(2)
First-principles (PBE) data for crystalline LaRu2 at its relaxed geometry, as listed in Alexandria.

abc: 6.470 6.470 6.470
angles: 90.00 90.00 90.00
Space group Pa-3 (No. 205)
Unique sites:
La (0.000, 0.000, 0.000) [4 per cell]
Ru (0.108, 0.608, 0.892) [8 per cell]

Properties
- DFT formation energy (eV per atom) = 1.11

=====

(3)
First-principles (PBE) data for crystalline SrTc3Sb at its relaxed geometry, as listed in Alexandria.

abc: 4.977 4.977 4.977
angles: 90.00 90.00 90.00
Space group Pm-3m (No. 221)
Unique sites:
Sr (0.000, 0.000, 0.000) [1 per cell]
Tc (0.000, 0.500, 0.500) [3 per cell]
Sb (0.500, 0.500, 0.500) [1 per cell]

Properties
- formation energy (no corrections) (eV per atom) = 1.304
- distance to the lowest polymorph of the same formula (meV/atom) = 0.0

=====

(4)
First-principles (PBE) data for crystalline K2CeBr4F2 at its relaxed geometry, as listed in Alexandria.

abc: 12.108 8.041 5.832
angles: 90.00 102.11 90.00
Space group C2/m (No. 12)
Unique sites:
K (0.179, 0.000, 0.332) [4 per cell]
Ce (0.000, 0.500, 0.000) [2 per cell]
Br (0.106, 0.241, 0.795) [8 per cell]
F (0.140, 0.500, 0.287) [4 per cell]

Properties
- formation energy (no corrections) (eV per atom) = -2.244